# 1
{
  "formula": "Li4AlZn",
  "functional": "PBE",
  "state": "optimized geometry",
  "dos_at_fermi_per_ev_fu": 2.425,
  "total_energy_ev_per_atom": -2.2563,
  "relative_energy_ev_per_fu": 0.00,
  "lattice_angstrom": [[4.557, -0.001, 0.001], [0.002, 4.909, 1.795], [-0.001, -0.222, 8.344]],
  "species": ["Li", "Li", "Li", "Li", "Li", "Li", "Li", "Li", "Al", "Al", "Zn", "Zn"],
  "frac_coords": [[0.250, 0.795, 0.416], [0.250, 0.958, 0.083], [0.750, 0.711, 0.584], [0.750, 0.544, 0.917], [0.750, 0.205, 0.584], [0.250, 0.289, 0.416], [0.750, 0.042, 0.917], [0.250, 0.456, 0.083], [0.750, 0.126, 0.247], [0.250, 0.874, 0.753], [0.750, 0.623, 0.254], [0.250, 0.377, 0.746]]
}

# 2
{
  "formula": "Li6AlZn2",
  "functional": "PBE",
  "state": "optimized geometry",
  "dos_at_fermi_per_ev_fu": 4.069,
  "total_energy_ev_per_atom": -2.1090,
  "relative_energy_ev_per_fu": 0.00,
  "lattice_angstrom": [[3.881, -6.723, 0.000], [3.881, 6.723, 0.000], [0.000, 0.000, 2.682]],
  "species": ["Li", "Li", "Li", "Li", "Li", "Li", "Al", "Zn", "Zn"],
  "frac_coords": [[0.667, 0.000, 0.500], [0.000, 0.667, 0.500], [0.333, 0.000, 0.500], [0.667, 0.667, 0.500], [0.000, 0.333, 0.500], [0.333, 0.333, 0.500], [0.000, 0.000, 0.000], [0.333, 0.667, 0.000], [0.667, 0.333, 0.000]]
}

# 3
{
  "formula": "Li2Al2Zn",
  "functional": "PBE",
  "state": "optimized geometry",
  "dos_at_fermi_per_ev_fu": 1.311,
  "total_energy_ev_per_atom": -2.4320,
  "relative_energy_ev_per_fu": 1.12,
  "lattice_angstrom": [[3.586, 0.000, 0.000], [0.000, 3.586, 0.000], [1.793, 1.793, 6.785]],
  "species": ["Zn", "Al", "Al", "Li", "Li"],
  "frac_coords": [[0.000, 0.000, 0.000], [0.405, 0.405, 0.189], [0.595, 0.595, 0.811], [0.750, 0.250, 0.500], [0.250, 0.750, 0.500]]
}

# 4
{
  "formula": "Li12AlZn2",
  "functional": "PBE",
  "state": "optimized geometry",
  "dos_at_fermi_per_ev_fu": 5.037,
  "total_energy_ev_per_atom": -1.9706,
  "lattice_angstrom": [[-3.629, -3.817, 2.074], [0.778, -2.403, 5.066], [-10.115, 14.094, 8.239]],
  "species": ["Li", "Li", "Li", "Li", "Li", "Li", "Li", "Li", "Li", "Li", "Li", "Li", "Li", "Li", "Li", "Li", "Li", "Li", "Li", "Li", "Li", "Li", "Li", "Li", "Al", "Al", "Zn", "Zn", "Zn", "Zn"],
  "frac_coords": [[0.500, 0.500, 0.783], [0.000, 0.000, 0.783], [0.750, 0.750, 0.868], [0.250, 0.750, 0.928], [0.000, 0.000, 0.353], [0.250, 0.750, 0.072], [0.871, 0.371, 0.500], [0.500, 0.500, 0.353], [0.250, 0.250, 0.868], [0.750, 0.750, 0.132], [0.250, 0.250, 0.617], [0.629, 0.129, 0.500], [0.000, 0.000, 0.647], [0.250, 0.250, 0.383], [0.250, 0.250, 0.132], [0.750, 0.750, 0.383], [0.750, 0.750, 0.617], [0.000, 0.000, 0.217], [0.129, 0.629, 0.500], [0.500, 0.500, 0.647], [0.750, 0.250, 0.928], [0.500, 0.500, 0.217], [0.371, 0.871, 0.500], [0.750, 0.250, 0.072], [0.500, 0.000, 0.000], [0.000, 0.500, 0.000], [0.500, 0.000, 0.262], [0.000, 0.500, 0.262], [0.000, 0.500, 0.738], [0.500, 0.000, 0.738]]
}

# 5
{
  "formula": "LiAlZn17",
  "functional": "PBE",
  "state": "optimized geometry",
  "dos_at_fermi_per_ev_fu": 5.134,
  "total_energy_ev_per_atom": -1.4091,
  "lattice_angstrom": [[-4.840, 3.092, -3.592], [-5.141, -1.601, 4.111], [0.012, 5.785, 3.525]],
  "species": ["Li", "Al", "Zn", "Zn", "Zn", "Zn", "Zn", "Zn", "Zn", "Zn", "Zn", "Zn", "Zn", "Zn", "Zn", "Zn", "Zn", "Zn", "Zn"],
  "frac_coords": [[0.663, 0.663, 0.663], [0.337, 0.337, 0.337], [0.301, 0.000, 0.695], [0.695, 0.301, 0.000], [0.000, 0.695, 0.301], [0.301, 0.695, 0.000], [0.000, 0.301, 0.695], [0.695, 0.000, 0.301], [0.345, 0.866, 0.345], [0.345, 0.345, 0.866], [0.866, 0.345, 0.345], [0.629, 0.192, 0.629], [0.629, 0.629, 0.192], [0.192, 0.629, 0.629], [0.981, 0.519, 0.981], [0.981, 0.981, 0.519], [0.519, 0.981, 0.981], [0.907, 0.907, 0.907], [0.114, 0.114, 0.114]]
}

# 6
{
  "formula": "Li2AlZn",
  "functional": "PBE",
  "state": "optimized geometry",
  "dos_at_fermi_per_ev_fu": 1.149,
  "total_energy_ev_per_atom": -2.3274,
  "lattice_angstrom": [[2.684, 0.000, 0.000], [0.000, 4.180, 0.000], [0.000, 0.000, 5.621]],
  "species": ["Al", "Li", "Li", "Zn"],
  "frac_coords": [[0.500, 0.500, 0.747], [0.000, 0.000, 0.995], [0.500, 0.500, 0.259], [0.000, 0.000, 0.500]]
}

Copy entry 4 word for word.
{
  "formula": "Li12AlZn2",
  "functional": "PBE",
  "state": "optimized geometry",
  "dos_at_fermi_per_ev_fu": 5.037,
  "total_energy_ev_per_atom": -1.9706,
  "lattice_angstrom": [[-3.629, -3.817, 2.074], [0.778, -2.403, 5.066], [-10.115, 14.094, 8.239]],
  "species": ["Li", "Li", "Li", "Li", "Li", "Li", "Li", "Li", "Li", "Li", "Li", "Li", "Li", "Li", "Li", "Li", "Li", "Li", "Li", "Li", "Li", "Li", "Li", "Li", "Al", "Al", "Zn", "Zn", "Zn", "Zn"],
  "frac_coords": [[0.500, 0.500, 0.783], [0.000, 0.000, 0.783], [0.750, 0.750, 0.868], [0.250, 0.750, 0.928], [0.000, 0.000, 0.353], [0.250, 0.750, 0.072], [0.871, 0.371, 0.500], [0.500, 0.500, 0.353], [0.250, 0.250, 0.868], [0.750, 0.750, 0.132], [0.250, 0.250, 0.617], [0.629, 0.129, 0.500], [0.000, 0.000, 0.647], [0.250, 0.250, 0.383], [0.250, 0.250, 0.132], [0.750, 0.750, 0.383], [0.750, 0.750, 0.617], [0.000, 0.000, 0.217], [0.129, 0.629, 0.500], [0.500, 0.500, 0.647], [0.750, 0.250, 0.928], [0.500, 0.500, 0.217], [0.371, 0.871, 0.500], [0.750, 0.250, 0.072], [0.500, 0.000, 0.000], [0.000, 0.500, 0.000], [0.500, 0.000, 0.262], [0.000, 0.500, 0.262], [0.000, 0.500, 0.738], [0.500, 0.000, 0.738]]
}